1.
The following is a DFT calculation (PBE-GGA) of a relaxed LaCo3Mo crystal.

Cell lengths 4.502, 4.502, 4.502 Å; angles 90.00, 90.00, 90.00 degrees
Site moments in Bohr magnetons follow the coordinates.
Fractional coordinates of all 5 atoms:
Co: 0.500 0.000 0.000  0.72
La: 0.000 0.000 0.000  -0.11
Co: 0.000 0.000 0.500  0.54
Mo: 0.500 0.500 0.500  2.45
Co: 0.000 0.500 0.000  0.57

The excess energy over the best structure of this formula in the dataset comes out at 1.216 eV per atom. The formation enthalpy at 0 K is 1.798 eV per atom. As for the total energy: -5.62 eV per atom. The total moment is 4.5 μB per formula unit.

2.
The following is a DFT calculation (PBE-GGA) of a relaxed LaCo2Mo crystal.

Cell lengths 3.122, 3.126, 7.030 Å; angles 90.00, 90.00, 90.00 degrees
Site moments in Bohr magnetons follow the coordinates.
Fractional coordinates of all 4 atoms:
La: 0.000 0.000 0.482  -0.07
Mo: 0.500 0.500 0.837  -0.13
Co: 0.000 0.000 0.000  0.46
Co: 0.500 0.500 0.181  1.29

The excess energy over the best structure of this formula in the dataset comes out at 0.296 eV per atom. The formation enthalpy at 0 K is 0.366 eV per atom. As for the total energy: -7.13 eV per atom. The total moment is 1.5 μB per formula unit.